1.
The following is a GGA-PBEsol calculation of RbHCl2 after structural relaxation, from Alexandria via LeMat-Bulk.

Structure (extended XYZ):
```
4
Lattice="2.556 1.476 5.927 -2.556 1.476 5.927 0.000 -2.951 5.927" Properties=species:S:1:pos:R:3 pbc="T T T"
Rb 0.000 0.000 0.000
H 0.000 0.000 8.891
Cl 0.000 0.000 7.337
Cl 0.000 0.000 10.444
```

Computed properties:
Magnetization (μB per cell): 0.0
Raw total energy (eV/atom): -3.341
Density (kg/m³): 1949
Space group: R-3m (166)

2.
The following is a GGA-PBEsol calculation of ZrSiMo2 after structural relaxation, from Alexandria via LeMat-Bulk.

Structure (extended XYZ):
```
4
Lattice="1.538 0.888 8.219 -1.538 0.888 8.219 0.000 -1.775 8.219" Properties=species:S:1:pos:R:3 pbc="T T T"
Zr 0.000 0.000 0.000
Si 0.000 0.000 5.993
Mo 0.000 0.000 12.349
Mo 0.000 0.000 18.658
```

Computed properties:
Magnetization (μB per cell): 0.0
Raw total energy (eV/atom): -9.499
Density (kg/m³): 7677
Space group: R3m (160)

3.
The following is a GGA-PBEsol calculation of PrSiP3 after structural relaxation, from Alexandria via LeMat-Bulk.

Structure (extended XYZ):
```
40
Lattice="5.788 0.000 0.000 0.000 25.212 0.000 0.000 0.000 5.644" Properties=species:S:1:pos:R:3 pbc="T T T"
Pr 0.162 2.233 0.000
Pr 0.171 10.164 2.818
Pr 2.723 22.770 5.641
Pr 2.732 14.839 2.822
Pr 3.056 10.373 0.000
Pr 3.065 2.442 2.818
Pr 5.617 15.048 5.641
Pr 5.626 22.979 2.822
Si 0.310 20.041 0.487
Si 0.703 7.349 0.473
Si 2.191 19.955 3.295
Si 2.583 7.435 3.309
Si 3.204 17.777 0.487
Si 3.596 5.257 0.473
Si 5.085 17.863 3.295
Si 5.477 5.171 3.309
P 0.039 19.927 2.718
P 0.124 9.418 5.627
P 0.193 3.095 2.804
P 0.448 7.200 2.706
P 1.099 12.657 1.152
P 1.104 12.657 4.506
P 1.790 0.051 1.684
P 1.795 0.051 3.974
P 2.446 19.806 5.528
P 2.701 15.701 5.626
P 2.770 22.024 2.805
P 2.855 7.321 5.540
P 2.933 17.891 2.718
P 3.018 3.188 5.627
P 3.087 9.511 2.804
P 3.342 5.406 2.706
P 3.993 25.161 1.152
P 3.998 25.161 4.506
P 4.684 12.555 1.684
P 4.689 12.555 3.974
P 5.340 18.012 5.528
P 5.595 22.117 5.626
P 5.664 15.794 2.805
P 5.749 5.285 5.540
```

Computed properties:
Magnetization (μB per cell): 0.0
Raw total energy (eV/atom): -6.361
Density (kg/m³): 4225
Space group: Pna2_1 (33)

4.
The following is a GGA-PBEsol calculation of InRh2Se after structural relaxation, from Alexandria via LeMat-Bulk.

Structure (extended XYZ):
```
4
Lattice="4.685 -1.577 0.000 4.685 1.577 0.000 -1.146 0.000 4.425" Properties=species:S:1:pos:R:3 pbc="T T T"
In 0.000 0.000 0.000
Rh 4.323 0.000 2.292
Rh 6.807 0.000 0.766
Se 1.644 0.000 2.589
```

Computed properties:
Magnetization (μB per cell): 0.0
Raw total energy (eV/atom): -5.948
Density (kg/m³): 10146
Space group: Cm (8)

Q: What is the formula in the second record?
A: ZrSiMo2